Entry 1:
# P2H

P2H after structural relaxation (GGA-PBE, Alexandria via LeMat-Bulk).

Lattice parameters (Å, degrees): 3.6523 4.1266 6.4547 87.05 74.47 87.94
With the nearest neighbours (Å) after each atom.
Element x y z (fractional)
P 0.2153 0.3728 0.0831  3 P 2.25-2.33
P 0.7847 0.6272 0.9169  3 P 2.25-2.33
P 0.0650 0.6942 0.3666  1 H 1.44
P 0.9350 0.3058 0.6334  1 H 1.44
H 0.5472 0.2662 0.6274  1 P 1.44
H 0.4528 0.7338 0.3726  1 P 1.44

Computed properties:
Relative energy among the computed polymorphs   90.5 meV/atom
Magnetization   0.00 μB/cell
Space-group type   P-1


Entry 2:
# P2H

P2H after structural relaxation (GGA-PBE, Alexandria via LeMat-Bulk).

Lattice parameters (Å, degrees): 5.1534 3.3047 13.6976 90.00 104.60 90.00
With the nearest neighbours (Å) after each atom.
Element x y z (fractional)
P 0.0605 0.0000 0.4276  3 P 2.22-2.23
P 0.9395 0.0000 0.5724  3 P 2.22-2.23
P 0.0605 0.5000 0.9276  3 P 2.22-2.23
P 0.9395 0.5000 0.0724  3 P 2.22-2.23
P 0.8077 0.0000 0.8447  1 H 1.44
P 0.1923 0.0000 0.1553  1 H 1.44
P 0.8077 0.5000 0.3447  1 H 1.44
P 0.1923 0.5000 0.6553  1 H 1.44
H 0.4018 0.0000 0.1033  1 P 1.44
H 0.5982 0.0000 0.8967  1 P 1.44
H 0.4018 0.5000 0.6033  1 P 1.44
H 0.5982 0.5000 0.3967  1 P 1.44

Computed properties:
Relative energy among the computed polymorphs   0.0 meV/atom
Magnetization   0.00 μB/cell
Space-group type   C2/m


Q: Which value of magnetization does entry 1 give?
A: 0.00 μB/cell


Q: Which of these has the highest relative energy among the computed polymorphs?
A: number 1


Q: What is the magnetization in the first record?
A: 0.00 μB/cell